K2LiAgBr6 | PBE | optimized geometry

Geometry as CIF:
```
data_K2LiAgBr6
_chemical_formula_sum 'K2 Li1 Ag1 Br6'
_cell_length_a 7.544
_cell_length_b 7.544
_cell_length_c 7.544
_cell_angle_alpha 60.00
_cell_angle_beta 60.00
_cell_angle_gamma 60.00
_space_group_name_H-M_alt 'P 1'
_space_group_IT_number 1
_space_group_name_Hall 'P 1'
loop_
_atom_site_label
_atom_site_fract_x
_atom_site_fract_y
_atom_site_fract_z
Li1 0.500 0.500 0.500
K1 0.250 0.250 0.250
K2 0.750 0.750 0.750
Ag1 0.000 0.000 0.000
Br1 0.250 0.750 0.250
Br2 0.750 0.250 0.250
Br3 0.250 0.250 0.750
Br4 0.750 0.250 0.750
Br5 0.250 0.750 0.750
Br6 0.750 0.750 0.250
```

symmetry: No. 225
DFT total energy: -2.6807 eV per atom



LuScBi2 | PBE | optimized geometry

Geometry as CIF:
```
data_LuScBi2
_chemical_formula_sum 'Lu1 Sc1 Bi2'
_cell_length_a 5.388
_cell_length_b 5.388
_cell_length_c 5.388
_cell_angle_alpha 60.00
_cell_angle_beta 60.00
_cell_angle_gamma 60.00
_space_group_name_H-M_alt 'P 1'
_space_group_IT_number 1
_space_group_name_Hall 'P 1'
loop_
_atom_site_label
_atom_site_fract_x
_atom_site_fract_y
_atom_site_fract_z
Sc1 0.500 0.500 0.500
Bi1 0.000 0.000 0.000
Bi2 0.750 0.750 0.750
Lu1 0.250 0.250 0.250
```

magnetic moment: 0.02 μB per formula unit
symmetry: No. 216
DFT total energy: -4.8055 eV per atom



Sm5Pb4 | PBE | optimized geometry

Geometry as CIF:
```
data_Sm5Pb4
_chemical_formula_sum 'Sm20 Pb16'
_cell_length_a 8.326
_cell_length_b 15.902
_cell_length_c 8.434
_cell_angle_alpha 90.00
_cell_angle_beta 90.00
_cell_angle_gamma 90.00
_space_group_name_H-M_alt 'P 1'
_space_group_IT_number 1
_space_group_name_Hall 'P 1'
loop_
_atom_site_label
_atom_site_fract_x
_atom_site_fract_y
_atom_site_fract_z
Pb1 0.427 0.750 0.376
Pb2 0.659 0.750 0.852
Pb3 0.281 0.957 0.034
Pb4 0.219 0.457 0.534
Pb5 0.159 0.750 0.648
Pb6 0.781 0.543 0.466
Pb7 0.719 0.457 0.966
Pb8 0.719 0.043 0.966
Pb9 0.573 0.250 0.624
Pb10 0.781 0.957 0.466
Pb11 0.073 0.250 0.876
Pb12 0.281 0.543 0.034
Pb13 0.219 0.043 0.534
Pb14 0.341 0.250 0.148
Pb15 0.927 0.750 0.124
Pb16 0.841 0.250 0.352
Sm1 0.209 0.250 0.503
Sm2 0.624 0.880 0.159
Sm3 0.969 0.899 0.823
Sm4 0.531 0.399 0.323
Sm5 0.876 0.120 0.659
Sm6 0.791 0.750 0.497
Sm7 0.876 0.380 0.659
Sm8 0.031 0.399 0.177
Sm9 0.291 0.750 0.003
Sm10 0.469 0.899 0.677
Sm11 0.124 0.620 0.341
Sm12 0.531 0.101 0.323
Sm13 0.624 0.620 0.159
Sm14 0.124 0.880 0.341
Sm15 0.031 0.101 0.177
Sm16 0.969 0.601 0.823
Sm17 0.709 0.250 0.997
Sm18 0.376 0.120 0.841
Sm19 0.469 0.601 0.677
Sm20 0.376 0.380 0.841
```

magnetic moment: 0.00 μB per formula unit
symmetry: No. 62
DFT total energy: -4.8411 eV per atom



Sr2PaGe2 | PBE | optimized geometry

Geometry as CIF:
```
data_Sr2PaGe2
_chemical_formula_sum 'Sr4 Pa2 Ge4'
_cell_length_a 5.298
_cell_length_b 5.298
_cell_length_c 11.818
_cell_angle_alpha 90.00
_cell_angle_beta 90.00
_cell_angle_gamma 120.00
_space_group_name_H-M_alt 'P 1'
_space_group_IT_number 1
_space_group_name_Hall 'P 1'
loop_
_atom_site_label
_atom_site_fract_x
_atom_site_fract_y
_atom_site_fract_z
Pa1 0.000 0.000 0.750
Pa2 0.000 0.000 0.250
Sr1 0.333 0.667 0.577
Sr2 0.333 0.667 0.923
Sr3 0.667 0.333 0.423
Sr4 0.667 0.333 0.077
Ge1 0.333 0.667 0.250
Ge2 0.000 0.000 0.500
Ge3 0.667 0.333 0.750
Ge4 0.000 0.000 0.000
```

magnetic moment: 0.99 μB per formula unit
symmetry: No. 194
DFT total energy: -4.7116 eV per atom



GdSiHO4 | PBE | optimized geometry

Geometry as CIF:
```
data_GdSiHO4
_chemical_formula_sum 'Gd4 Si4 H4 O16'
_cell_length_a 7.691
_cell_length_b 6.475
_cell_length_c 6.870
_cell_angle_alpha 90.00
_cell_angle_beta 111.75
_cell_angle_gamma 90.00
_space_group_name_H-M_alt 'P 1'
_space_group_IT_number 1
_space_group_name_Hall 'P 1'
loop_
_atom_site_label
_atom_site_fract_x
_atom_site_fract_y
_atom_site_fract_z
O1 0.791 0.441 0.207
O2 0.791 0.059 0.707
O3 0.093 0.295 0.058
O4 0.547 0.728 0.236
O5 0.453 0.228 0.264
O6 0.278 0.529 0.454
O7 0.722 0.029 0.046
O8 0.093 0.205 0.558
O9 0.547 0.772 0.736
O10 0.907 0.795 0.442
O11 0.209 0.941 0.293
O12 0.453 0.272 0.764
O13 0.907 0.705 0.942
O14 0.209 0.559 0.793
O15 0.722 0.471 0.546
O16 0.278 0.971 0.954
H1 0.546 0.680 0.622
H2 0.454 0.180 0.878
H3 0.546 0.820 0.122
H4 0.454 0.320 0.378
Si1 0.244 0.109 0.135
Si2 0.756 0.891 0.865
Si3 0.244 0.391 0.635
Si4 0.756 0.609 0.365
Gd1 0.787 0.364 0.884
Gd2 0.213 0.864 0.616
Gd3 0.213 0.636 0.116
Gd4 0.787 0.136 0.384
```

magnetic moment: 0.00 μB per formula unit
symmetry: No. 14
energy relative to the lowest polymorph listed for this composition: 0.000 eV/atom



HfCdAsO | PBE | optimized geometry

Geometry as CIF:
```
data_HfCdAsO
_chemical_formula_sum 'Hf2 Cd2 As2 O2'
_cell_length_a 4.054
_cell_length_b 6.871
_cell_length_c 5.541
_cell_angle_alpha 90.00
_cell_angle_beta 90.00
_cell_angle_gamma 90.00
_space_group_name_H-M_alt 'P 1'
_space_group_IT_number 1
_space_group_name_Hall 'P 1'
loop_
_atom_site_label
_atom_site_fract_x
_atom_site_fract_y
_atom_site_fract_z
Cd1 0.500 0.564 0.543
Cd2 0.500 0.436 0.043
As1 0.000 0.777 0.395
As2 0.000 0.223 0.895
Hf1 0.000 0.164 0.404
Hf2 0.000 0.836 0.904
O1 0.500 0.205 0.412
O2 0.500 0.795 0.912
```

magnetic moment: 0.00 μB per formula unit
symmetry: No. 26
energy relative to the lowest polymorph listed for this composition: 0.115 eV/atom



Hf2CoAs | PBE | optimized geometry

Geometry as CIF:
```
data_Hf2CoAs
_chemical_formula_sum 'Hf2 Co1 As1'
_cell_length_a 4.592
_cell_length_b 4.592
_cell_length_c 4.592
_cell_angle_alpha 60.00
_cell_angle_beta 60.00
_cell_angle_gamma 60.00
_space_group_name_H-M_alt 'P 1'
_space_group_IT_number 1
_space_group_name_Hall 'P 1'
loop_
_atom_site_label
_atom_site_fract_x
_atom_site_fract_y
_atom_site_fract_z
Hf1 0.000 0.000 0.000
Hf2 0.750 0.750 0.750
As1 0.500 0.500 0.500
Co1 0.250 0.250 0.250
```

magnetic moment: 1.94 μB per formula unit
symmetry: No. 216
DFT total energy: -7.7066 eV per atom



DyMgTl | PBE | optimized geometry

Geometry as CIF:
```
data_DyMgTl
_chemical_formula_sum 'Dy1 Mg1 Tl1'
_cell_length_a 4.948
_cell_length_b 4.948
_cell_length_c 4.948
_cell_angle_alpha 60.00
_cell_angle_beta 60.00
_cell_angle_gamma 60.00
_space_group_name_H-M_alt 'P 1'
_space_group_IT_number 1
_space_group_name_Hall 'P 1'
loop_
_atom_site_label
_atom_site_fract_x
_atom_site_fract_y
_atom_site_fract_z
Dy1 0.250 0.250 0.250
Mg1 0.750 0.750 0.750
Tl1 0.000 0.000 0.000
```

magnetic moment: 0.00 μB per formula unit
symmetry: No. 216
DFT total energy: -3.0112 eV per atom



KBaHoSe3 | PBE | optimized geometry

Geometry as CIF:
```
data_KBaHoSe3
_chemical_formula_sum 'K2 Ba2 Ho2 Se6'
_cell_length_a 10.434
_cell_length_b 10.434
_cell_length_c 12.215
_cell_angle_alpha 90.00
_cell_angle_beta 90.00
_cell_angle_gamma 155.98
_space_group_name_H-M_alt 'P 1'
_space_group_IT_number 1
_space_group_name_Hall 'P 1'
loop_
_atom_site_label
_atom_site_fract_x
_atom_site_fract_y
_atom_site_fract_z
Se1 0.495 0.505 0.250
Se2 0.905 0.095 0.999
Se3 0.905 0.095 0.501
Se4 0.505 0.495 0.750
Se5 0.095 0.905 0.001
Se6 0.095 0.905 0.499
K1 0.887 0.113 0.750
K2 0.113 0.887 0.250
Ho1 0.500 0.500 0.500
Ho2 0.500 0.500 0.000
Ba1 0.887 0.113 0.250
Ba2 0.113 0.887 0.750
```

magnetic moment: 0.01 μB per formula unit
symmetry: No. 63
energy relative to the lowest polymorph listed for this composition: 0.139 eV/atom



PmTlNO | PBE | optimized geometry

Geometry as CIF:
```
data_PmTlNO
_chemical_formula_sum 'Pm2 Tl2 N2 O2'
_cell_length_a 5.205
_cell_length_b 5.205
_cell_length_c 4.806
_cell_angle_alpha 90.00
_cell_angle_beta 90.00
_cell_angle_gamma 90.00
_space_group_name_H-M_alt 'P 1'
_space_group_IT_number 1
_space_group_name_Hall 'P 1'
loop_
_atom_site_label
_atom_site_fract_x
_atom_site_fract_y
_atom_site_fract_z
N1 0.500 0.000 0.503
N2 0.000 0.500 0.497
Tl1 0.000 0.500 0.999
Tl2 0.500 0.000 0.001
O1 0.500 0.500 0.000
O2 0.000 0.000 0.000
Pm1 0.000 0.000 0.500
Pm2 0.500 0.500 0.500
```

magnetic moment: 0.00 μB per formula unit
symmetry: No. 129
energy relative to the lowest polymorph listed for this composition: 0.000 eV/atom



DyFe4Ge2 | PBE | optimized geometry

Geometry as CIF:
```
data_DyFe4Ge2
_chemical_formula_sum 'Dy2 Fe8 Ge4'
_cell_length_a 6.640
_cell_length_b 7.658
_cell_length_c 4.067
_cell_angle_alpha 90.00
_cell_angle_beta 90.00
_cell_angle_gamma 90.00
_space_group_name_H-M_alt 'P 1'
_space_group_IT_number 1
_space_group_name_Hall 'P 1'
loop_
_atom_site_label
_atom_site_fract_x
_atom_site_fract_y
_atom_site_fract_z
Fe1 0.641 0.377 0.000
Fe2 0.938 0.149 0.000
Fe3 0.562 0.649 0.500
Fe4 0.438 0.351 0.500
Fe5 0.141 0.123 0.500
Fe6 0.859 0.877 0.500
Fe7 0.062 0.851 0.000
Fe8 0.359 0.623 0.000
Ge1 0.247 0.315 0.000
Ge2 0.253 0.815 0.500
Ge3 0.747 0.185 0.500
Ge4 0.753 0.685 0.000
Dy1 0.000 0.500 0.500
Dy2 0.500 0.000 0.000
```

magnetic moment: 8.23 μB per formula unit
symmetry: No. 58
DFT total energy: -7.0534 eV per atom



TaGaGe | PBE | optimized geometry

Geometry as CIF:
```
data_TaGaGe
_chemical_formula_sum 'Ta1 Ga1 Ge1'
_cell_length_a 4.351
_cell_length_b 4.351
_cell_length_c 4.351
_cell_angle_alpha 60.00
_cell_angle_beta 60.00
_cell_angle_gamma 60.00
_space_group_name_H-M_alt 'P 1'
_space_group_IT_number 1
_space_group_name_Hall 'P 1'
loop_
_atom_site_label
_atom_site_fract_x
_atom_site_fract_y
_atom_site_fract_z
Ge1 0.000 0.000 0.000
Ga1 0.250 0.250 0.250
Ta1 0.750 0.750 0.750
```

magnetic moment: 0.95 μB per formula unit
symmetry: No. 216
energy relative to the lowest polymorph listed for this composition: 0.135 eV/atom